1.
Material: SiPb2
Method: DFT, PBE
State: relaxed

Properties
energy above the most stable polymorph in this dataset: 73 meV/atom
space-group type: Fm-3m (225)
total DFT energy (no corrections): -3.959 eV/atom

Structure (POSCAR):
```
SiPb2
1.0
-0.046 -0.674 4.968
-3.459 -2.964 2.096
1.335 -4.426 1.942
Si Pb
1 2
Direct
0.000 0.000 0.000
0.250 0.250 0.250
0.750 0.750 0.750
```


2.
Material: Si23Pb4
Method: DFT, PBE
State: relaxed

Properties
space-group type: Pm-3n (223)
total DFT energy (no corrections): -5.007 eV/atom

Structure (POSCAR):
```
Si23Pb4
1.0
10.244 0.000 0.000
0.000 10.244 0.000
0.000 0.000 10.244
Si Pb
46 8
Direct
0.000 0.500 0.750
0.684 0.684 0.316
0.684 0.684 0.684
0.184 0.816 0.184
0.500 0.250 0.000
0.184 0.816 0.816
0.000 0.309 0.117
0.500 0.750 0.000
0.316 0.316 0.684
0.250 0.000 0.500
0.000 0.691 0.883
0.809 0.500 0.383
0.883 0.000 0.691
0.191 0.500 0.617
0.184 0.184 0.184
0.316 0.316 0.316
0.316 0.684 0.684
0.000 0.500 0.250
0.191 0.500 0.383
0.750 0.000 0.500
0.684 0.316 0.684
0.691 0.117 0.000
0.309 0.117 0.000
0.816 0.184 0.184
0.117 0.000 0.309
0.000 0.691 0.117
0.809 0.500 0.617
0.816 0.184 0.816
0.816 0.816 0.184
0.500 0.383 0.191
0.816 0.816 0.816
0.500 0.617 0.809
0.117 0.000 0.691
0.184 0.184 0.816
0.000 0.309 0.883
0.883 0.000 0.309
0.500 0.383 0.809
0.383 0.809 0.500
0.383 0.191 0.500
0.691 0.883 0.000
0.316 0.684 0.316
0.684 0.316 0.316
0.309 0.883 0.000
0.500 0.617 0.191
0.617 0.809 0.500
0.617 0.191 0.500
0.250 0.500 0.000
0.000 0.750 0.500
0.000 0.000 0.000
0.000 0.250 0.500
0.750 0.500 0.000
0.500 0.000 0.250
0.500 0.500 0.500
0.500 0.000 0.750
```


3.
Material: SiPb5
Method: DFT, PBE
State: relaxed

Properties
energy above the most stable polymorph in this dataset: 0 meV/atom
space-group type: Cm (8)
total DFT energy (no corrections): -3.813 eV/atom

Structure (POSCAR):
```
SiPb5
1.0
0.332 -4.646 -4.204
1.687 -5.939 -1.113
-6.832 -5.359 0.752
Pb Si
5 1
Direct
0.306 0.306 0.388
0.944 0.944 0.033
0.668 0.668 0.743
0.639 0.639 0.190
0.972 0.972 0.589
0.305 0.305 0.890
```


4.
Material: Si2Pb
Method: DFT, PBE
State: relaxed

Properties
energy above the most stable polymorph in this dataset: 154 meV/atom
space-group type: I4_1/amd (141)
total DFT energy (no corrections): -4.460 eV/atom

Structure (POSCAR):
```
Si2Pb
1.0
4.515 -4.029 4.217
0.297 -0.449 7.356
-4.491 -0.162 -5.849
Si Pb
4 2
Direct
0.660 0.160 0.500
0.910 0.910 0.000
0.090 0.090 0.000
0.840 0.340 0.500
0.500 0.500 0.000
0.250 0.750 0.500
```


5.
Material: SiPb2
Method: DFT, PBE
State: relaxed

Properties
energy above the most stable polymorph in this dataset: 53 meV/atom
space-group type: I4/mcm (140)
total DFT energy (no corrections): -3.979 eV/atom

Structure (POSCAR):
```
SiPb2
1.0
4.881 -1.618 3.226
-4.476 3.722 1.722
-2.947 -5.289 -0.447
Pb Si
4 2
Direct
0.657 0.843 0.500
0.157 0.657 0.815
0.843 0.343 0.185
0.343 0.157 0.500
0.250 0.250 0.000
0.750 0.750 0.000
```


6.
Material: SiPb2
Method: DFT, PBE
State: relaxed

Properties
energy above the most stable polymorph in this dataset: 95 meV/atom
space-group type: Immm (71)
total DFT energy (no corrections): -3.937 eV/atom

Structure (POSCAR):
```
SiPb2
1.0
6.632 -0.014 0.014
4.643 4.736 -0.014
-5.538 -2.596 2.562
Si Pb
1 2
Direct
0.000 0.000 0.000
0.640 0.640 0.000
0.360 0.360 0.000
```


7.
Material: Si2Pb
Method: DFT, PBE
State: relaxed

Properties
energy above the most stable polymorph in this dataset: 0 meV/atom
space-group type: P-3m1 (164)
total DFT energy (no corrections): -4.614 eV/atom

Structure (POSCAR):
```
Si2Pb
1.0
3.817 0.000 0.000
-1.908 3.306 0.000
0.000 0.000 5.321
Pb Si
1 2
Direct
0.000 0.000 0.000
0.333 0.667 0.415
0.667 0.333 0.585
```


8.
Material: SiPb5
Method: DFT, PBE
State: relaxed

Properties
energy above the most stable polymorph in this dataset: 340 meV/atom
space-group type: P6/mmm (191)
total DFT energy (no corrections): -3.473 eV/atom

Structure (POSCAR):
```
SiPb5
1.0
0.157 5.526 2.895
-4.239 -4.270 1.655
3.794 -2.211 4.014
Pb Si
5 1
Direct
0.333 0.667 0.000
0.667 0.333 0.000
0.000 0.500 0.500
0.500 0.000 0.500
0.500 0.500 0.500
0.000 0.000 0.000
```


9.
Material: SiPb2
Method: DFT, PBE
State: relaxed

Properties
energy above the most stable polymorph in this dataset: 0 meV/atom
space-group type: C2/m (12)
total DFT energy (no corrections): -4.032 eV/atom

Structure (POSCAR):
```
SiPb2
1.0
0.133 -1.328 5.949
2.785 1.059 5.319
-4.024 5.675 4.558
Pb Si
4 2
Direct
0.666 0.666 0.896
0.334 0.334 0.104
0.991 0.991 0.705
0.009 0.009 0.295
0.285 0.285 0.565
0.715 0.715 0.435
```


10.
Material: Si2Pb
Method: DFT, PBE
State: relaxed

Properties
energy above the most stable polymorph in this dataset: 90 meV/atom
space-group type: C2/m (12)
total DFT energy (no corrections): -4.523 eV/atom

Structure (POSCAR):
```
Si2Pb
1.0
-0.693 -4.147 -5.003
0.451 -6.219 -1.956
-5.661 -4.606 -1.006
Si Pb
4 2
Direct
0.116 0.116 0.650
0.884 0.884 0.350
0.686 0.686 0.750
0.314 0.314 0.250
0.394 0.394 0.795
0.606 0.606 0.205
```


11.
Material: SiPb5
Method: DFT, PBE
State: relaxed

Properties
energy above the most stable polymorph in this dataset: 35 meV/atom
space-group type: Amm2 (38)
total DFT energy (no corrections): -3.778 eV/atom

Structure (POSCAR):
```
SiPb5
1.0
1.770 -9.298 0.000
1.770 9.298 0.000
0.000 0.000 5.507
Pb Si
5 1
Direct
0.507 0.493 0.500
0.313 0.687 0.000
0.966 0.034 0.000
0.639 0.361 0.000
0.770 0.230 0.500
0.139 0.861 0.500
```


12.
Material: SiPb2
Method: DFT, PBE
State: relaxed

Properties
energy above the most stable polymorph in this dataset: 63 meV/atom
space-group type: P-3m1 (164)
total DFT energy (no corrections): -3.969 eV/atom

Structure (POSCAR):
```
SiPb2
1.0
4.161 0.000 0.000
-2.081 3.604 0.000
0.000 0.000 5.695
Si Pb
1 2
Direct
0.000 0.000 0.000
0.333 0.667 0.274
0.667 0.333 0.726
```


13.
Material: Si5Pb3
Method: DFT, PBE
State: relaxed

Properties
space-group type: Cm (8)
total DFT energy (no corrections): -4.382 eV/atom

Structure (POSCAR):
```
Si5Pb3
1.0
8.682 -0.003 0.000
-6.086 5.962 0.000
-1.298 -2.980 8.340
Si Pb
10 6
Direct
0.221 0.546 0.653
0.609 0.931 0.647
0.068 0.393 0.347
0.794 0.426 0.309
0.404 0.043 0.336
0.569 0.207 0.664
0.200 0.775 0.500
0.461 0.783 0.353
0.783 0.230 0.500
0.985 0.617 0.691
0.092 0.224 0.834
0.758 0.890 0.166
0.265 0.236 0.500
0.751 0.233 0.994
0.257 0.739 0.006
0.775 0.725 0.500
```


14.
Material: Si2Pb
Method: DFT, PBE
State: relaxed

Properties
energy above the most stable polymorph in this dataset: 127 meV/atom
space-group type: P4/mmm (123)
total DFT energy (no corrections): -4.487 eV/atom

Structure (POSCAR):
```
Si2Pb
1.0
3.529 0.000 0.000
0.000 3.529 0.000
0.000 0.000 5.354
Si Pb
2 1
Direct
0.000 0.500 0.000
0.500 0.000 0.000
0.000 0.000 0.500
```


15.
Material: Sm12Si6Pb
Method: DFT, PBE
State: relaxed

Properties
space-group type: Im-3 (204)
total DFT energy (no corrections): -5.445 eV/atom

Structure (POSCAR):
```
Sm12Si6Pb
1.0
8.300 0.000 -2.935
-4.150 7.188 -2.935
0.000 0.000 8.804
Sm Si Pb
12 6 1
Direct
0.110 0.811 0.298
0.298 0.487 0.189
0.702 0.513 0.811
0.298 0.110 0.811
0.702 0.890 0.189
0.890 0.189 0.702
0.189 0.702 0.890
0.487 0.189 0.298
0.811 0.702 0.513
0.189 0.298 0.487
0.811 0.298 0.110
0.513 0.811 0.702
0.885 0.385 0.500
0.615 0.500 0.115
0.385 0.500 0.885
0.500 0.885 0.385
0.115 0.615 0.500
0.500 0.115 0.615
0.000 0.000 0.000
```


16.
Material: SmSiPb
Method: DFT, PBE
State: relaxed

Properties
space-group type: Cmcm (63)
total DFT energy (no corrections): -5.132 eV/atom

Structure (POSCAR):
```
SmSiPb
1.0
-1.908 -2.816 -1.766
1.514 -2.808 2.841
-6.659 0.168 6.924
Si Sm Pb
2 2 2
Direct
0.750 0.462 0.077
0.250 0.538 0.923
0.250 0.913 0.175
0.750 0.087 0.825
0.250 0.699 0.601
0.750 0.301 0.399
```


17.
Material: Sm8SiPb2
Method: DFT, PBE
State: relaxed

Properties
space-group type: C2/m (12)
total DFT energy (no corrections): -4.902 eV/atom

Structure (POSCAR):
```
Sm8SiPb2
1.0
5.168 0.000 0.000
0.000 6.849 0.139
-2.584 -2.692 9.474
Pb Sm Si
2 8 1
Direct
0.179 0.758 0.358
0.821 0.242 0.642
0.016 0.778 0.031
0.217 0.324 0.435
0.588 0.462 0.176
0.984 0.222 0.969
0.783 0.676 0.565
0.350 0.996 0.700
0.650 0.004 0.300
0.412 0.538 0.824
0.500 0.000 0.000
```


18.
Material: Sm7Si2Pb2
Method: DFT, PBE
State: relaxed

Properties
space-group type: Cmmm (65)
total DFT energy (no corrections): -4.981 eV/atom

Structure (POSCAR):
```
Sm7Si2Pb2
1.0
-4.770 5.213 0.590
-4.829 -4.057 -3.205
-0.735 -3.812 5.933
Pb Sm Si
2 7 2
Direct
0.183 0.500 0.183
0.817 0.500 0.817
0.500 0.239 0.500
0.000 0.000 0.000
0.500 0.761 0.500
0.500 0.735 0.000
0.000 0.735 0.500
0.500 0.265 0.000
0.000 0.265 0.500
0.273 0.000 0.727
0.727 0.000 0.273
```


19.
Material: Sm3SiPb
Method: DFT, PBE
State: relaxed

Properties
space-group type: Pmmn (59)
total DFT energy (no corrections): -5.190 eV/atom

Structure (POSCAR):
```
Sm3SiPb
1.0
4.575 -0.001 0.000
0.002 6.984 0.000
0.000 0.000 9.431
Sm Si Pb
6 2 2
Direct
0.750 0.990 0.663
0.250 0.490 0.337
0.750 0.510 0.663
0.250 0.010 0.337
0.750 0.750 0.083
0.250 0.250 0.917
0.250 0.250 0.603
0.750 0.750 0.397
0.750 0.250 0.143
0.250 0.750 0.857
```


20.
Material: Sm3Si2Pb2
Method: DFT, PBE
State: relaxed

Properties
space-group type: C2/m (12)
total DFT energy (no corrections): -5.175 eV/atom

Structure (POSCAR):
```
Sm3Si2Pb2
1.0
-1.605 -3.025 -1.687
5.929 -1.421 1.228
-6.094 -0.657 6.976
Sm Si Pb
3 2 2
Direct
0.675 0.350 0.683
0.325 0.650 0.317
0.500 0.000 0.000
0.813 0.626 0.067
0.187 0.374 0.933
0.927 0.854 0.659
0.073 0.146 0.341
```


no.,formation energy (no corrections) (eV per atom)
1,0.3212
2,0.1620
3,0.1811
4,0.3915
5,0.3009
6,0.3433
7,0.2379
8,0.5211
9,0.2479
10,0.3282
11,0.2156
12,0.3108
13,0.3982
14,0.3649
15,-0.5568
16,-0.5156
17,-0.3030
18,-0.3172
19,-0.5321
20,-0.5432